# TbHoCdAu PBE-GGA optimized geometry
data_TbHoCdAu
_cell_length_a 7.3306
_cell_length_b 7.3306
_cell_length_c 7.3306
_cell_angle_alpha 90.00
_cell_angle_beta 90.00
_cell_angle_gamma 90.00
_symmetry_space_group_name_H-M 'F -4 3 m'
_symmetry_Int_Tables_number 216
_symmetry_space_group_name_Hall 'F -4 2 3'
loop_
_atom_site_label
_atom_site_type_symbol
_atom_site_fract_x
_atom_site_fract_y
_atom_site_fract_z
Tb1 Tb 0.0000 0.0000 0.0000
Ho1 Ho 0.0000 0.0000 0.5000
Cd1 Cd 0.2500 0.2500 0.7500
Au1 Au 0.2500 0.2500 0.2500
# energy relative to the lowest polymorph listed for this composition	0.121	eV/f.u.
# calculated total energy	-3.910	eV/atom
# calculated volume	394	Å³ per cell
# calculated formation energy	-12.9	kcal/mol of atoms